[1]
# PBE-GGA Y2ZnReI, relaxed
data_Y2ZnReI
_chemical_formula_sum 'Y2 Zn1 Re1 I1'
_space_group_name_H-M_alt 'P 1'
_space_group_IT_number 1
_cell_length_a 5.402
_cell_length_b 5.402
_cell_length_c 5.328
_cell_angle_alpha 90.00
_cell_angle_beta 90.00
_cell_angle_gamma 90.00
loop_
_space_group_symop_operation_xyz
'x,y,z'
loop_
_atom_site_label
_atom_site_type_symbol
_atom_site_fract_x
_atom_site_fract_y
_atom_site_fract_z
Y1 Y 0.000 0.500 0.000
Y2 Y 0.500 0.000 0.000
Zn1 Zn 0.000 0.000 0.500
Re1 Re 0.500 0.500 0.000
I1 I 0.500 0.500 0.500
# Formation energy without anion corrections, meV/atom: 553
# Crystal system: tetragonal

[2]
# PBE-GGA ZrTe3Os, relaxed
data_ZrTe3Os
_chemical_formula_sum 'Zr1 Te3 Os1'
_space_group_name_H-M_alt 'P 1'
_space_group_IT_number 1
_cell_length_a 5.179
_cell_length_b 5.179
_cell_length_c 5.179
_cell_angle_alpha 90.00
_cell_angle_beta 90.00
_cell_angle_gamma 90.00
loop_
_space_group_symop_operation_xyz
'x,y,z'
loop_
_atom_site_label
_atom_site_type_symbol
_atom_site_fract_x
_atom_site_fract_y
_atom_site_fract_z
Zr1 Zr 0.000 0.000 0.000
Te1 Te 0.000 0.500 0.500
Te2 Te 0.500 0.000 0.500
Te3 Te 0.500 0.500 0.000
Os1 Os 0.500 0.500 0.500
# Formation energy without anion corrections, meV/atom: 721
# Energy above the lowest structure with this stoichiometry, eV/atom: 0.000
# Crystal system: cubic

[3]
# PBE-GGA CrOs3Br, relaxed
data_CrOs3Br
_chemical_formula_sum 'Cr1 Os3 Br1'
_space_group_name_H-M_alt 'P 1'
_space_group_IT_number 1
_cell_length_a 4.502
_cell_length_b 4.502
_cell_length_c 4.502
_cell_angle_alpha 90.00
_cell_angle_beta 90.00
_cell_angle_gamma 90.00
loop_
_space_group_symop_operation_xyz
'x,y,z'
loop_
_atom_site_label
_atom_site_type_symbol
_atom_site_fract_x
_atom_site_fract_y
_atom_site_fract_z
Cr1 Cr 0.000 0.000 0.000
Os1 Os 0.000 0.500 0.500
Os2 Os 0.500 0.000 0.500
Os3 Os 0.500 0.500 0.000
Br1 Br 0.500 0.500 0.500
# Formation energy without anion corrections, meV/atom: 2729
# Energy above the lowest structure with this stoichiometry, eV/atom: 0.567
# Crystal system: cubic

[4]
# PBE-GGA CdFePdS2, relaxed
data_CdFePdS2
_chemical_formula_sum 'Cd1 Fe1 Pd1 S2'
_space_group_name_H-M_alt 'P 1'
_space_group_IT_number 1
_cell_length_a 4.257
_cell_length_b 4.257
_cell_length_c 5.072
_cell_angle_alpha 90.00
_cell_angle_beta 90.00
_cell_angle_gamma 90.00
loop_
_space_group_symop_operation_xyz
'x,y,z'
loop_
_atom_site_label
_atom_site_type_symbol
_atom_site_fract_x
_atom_site_fract_y
_atom_site_fract_z
Cd1 Cd 0.000 0.000 0.000
Fe1 Fe 0.000 0.000 0.500
Pd1 Pd 0.500 0.500 0.000
S1 S 0.000 0.500 0.500
S2 S 0.500 0.000 0.500
# Formation energy without anion corrections, meV/atom: 338
# Crystal system: tetragonal

[5]
# PBE-GGA Li3Ga2Pd4, relaxed
data_Li3Ga2Pd4
_chemical_formula_sum 'Li3 Ga2 Pd4'
_space_group_name_H-M_alt 'P 1'
_space_group_IT_number 1
_cell_length_a 4.263
_cell_length_b 4.263
_cell_length_c 8.057
_cell_angle_alpha 90.00
_cell_angle_beta 90.00
_cell_angle_gamma 120.00
loop_
_space_group_symop_operation_xyz
'x,y,z'
loop_
_atom_site_label
_atom_site_type_symbol
_atom_site_fract_x
_atom_site_fract_y
_atom_site_fract_z
Li1 Li 0.000 0.000 0.000
Li2 Li 0.333 0.667 0.448
Li3 Li 0.667 0.333 0.552
Ga1 Ga 0.333 0.667 0.782
Ga2 Ga 0.667 0.333 0.218
Pd1 Pd 0.000 0.000 0.320
Pd2 Pd 0.000 0.000 0.680
Pd3 Pd 0.333 0.667 0.109
Pd4 Pd 0.667 0.333 0.891
# ΔH_f (0 K), eV per atom: -0.643
# Crystal system: trigonal

[6]
# PBE-GGA BiAuS2, relaxed
data_BiAuS2
_chemical_formula_sum 'Bi8 Au8 S16'
_space_group_name_H-M_alt 'P 1'
_space_group_IT_number 1
_cell_length_a 7.864
_cell_length_b 7.864
_cell_length_c 13.767
_cell_angle_alpha 94.36
_cell_angle_beta 94.36
_cell_angle_gamma 95.13
loop_
_space_group_symop_operation_xyz
'x,y,z'
loop_
_atom_site_label
_atom_site_type_symbol
_atom_site_fract_x
_atom_site_fract_y
_atom_site_fract_z
Bi1 Bi 0.122 0.863 0.901
Bi2 Bi 0.137 0.878 0.599
Bi3 Bi 0.144 0.475 0.640
Bi4 Bi 0.475 0.144 0.140
Bi5 Bi 0.525 0.856 0.860
Bi6 Bi 0.856 0.525 0.360
Bi7 Bi 0.863 0.122 0.401
Bi8 Bi 0.878 0.137 0.099
Au1 Au 0.184 0.658 0.130
Au2 Au 0.320 0.356 0.876
Au3 Au 0.342 0.816 0.370
Au4 Au 0.356 0.320 0.376
Au5 Au 0.644 0.680 0.624
Au6 Au 0.658 0.184 0.630
Au7 Au 0.680 0.644 0.124
Au8 Au 0.816 0.342 0.870
S1 S 0.000 0.000 0.250
S2 S 0.000 0.000 0.750
S3 S 0.067 0.492 0.830
S4 S 0.179 0.182 0.503
S5 S 0.182 0.179 0.003
S6 S 0.216 0.568 0.425
S7 S 0.432 0.784 0.075
S8 S 0.469 0.531 0.750
S9 S 0.492 0.067 0.330
S10 S 0.508 0.933 0.670
S11 S 0.531 0.469 0.250
S12 S 0.568 0.216 0.925
S13 S 0.784 0.432 0.575
S14 S 0.818 0.821 0.997
S15 S 0.821 0.818 0.497
S16 S 0.933 0.508 0.170
# Formation energy without anion corrections, meV/atom: -96
# Crystal system: monoclinic

Number 1: electronic total energy -5.087 eV/atom. Number 2: electronic total energy -5.119 eV/atom. Number 3: electronic total energy -6.268 eV/atom. Number 4: electronic total energy -4.227 eV/atom. Number 5: electronic total energy -4.262 eV/atom. Number 6: electronic total energy -3.950 eV/atom.